This record from Alexandria describes a relaxed Na3Bi2SbS6 crystal. The functional is PBE-GGA.

Computed properties:
DFT total energy = -0.30123 Ry/atom
Symmetry = C2/m, No. 12
ΔE_f (raw) = -0.71 eV/atom

a = 4.0404 Å, b = 8.2483 Å, c = 9.1853 Å
α = 104.57°, β = 102.71°, γ = 90.00°
With the nearest neighbours (Å) after each atom.
Positions (direct):
1 Na 0.5000 0.5000 0.0000  6 S 2.92-2.98
2 Na 0.8333 0.1675 0.6667  6 S 2.93-2.98
3 Na 0.1667 0.8325 0.3333  6 S 2.93-2.98
4 Bi 0.8343 0.6687 0.6685  6 S 2.83-2.87
5 Bi 0.1657 0.3313 0.3315  6 S 2.83-2.87
6 Sb 0.5000 0.0000 0.0000  6 S 2.79-2.80
7 S 0.3388 0.9136 0.6775  1 Sb 2.79, 2 Bi 2.84, 3 Na 2.93-2.98
8 S 0.6687 0.5761 0.3373  3 Bi 2.85-2.87, 3 Na 2.92-2.93
9 S 0.6612 0.0864 0.3225  1 Sb 2.79, 2 Bi 2.84, 3 Na 2.93-2.98
10 S 0.0023 0.2361 0.0046  2 Sb 2.80, 1 Bi 2.83, 3 Na 2.93-2.98
11 S 0.9977 0.7639 0.9954  2 Sb 2.80, 1 Bi 2.83, 3 Na 2.93-2.98
12 S 0.3313 0.4239 0.6627  3 Bi 2.85-2.87, 3 Na 2.92-2.93


This record from Alexandria describes a relaxed Ac4Nd3Ho2 crystal. The functional is PBE-GGA.

Computed properties:
Energy of formation from the pure elements = 0.41 eV per formula unit
Density of states at the Fermi level = 14.3 states/eV/cell
DFT total energy = -0.32247 Ry/atom
Symmetry = C2/m, No. 12

a = 5.4114 Å, b = 6.4769 Å, c = 11.3402 Å
α = 74.73°, β = 90.02°, γ = 65.28°
With the nearest neighbours (Å) after each atom.
Positions (direct):
1 Ac 0.6659 0.6676 0.8890  4 Nd 3.76-3.82, 4 Ho 3.77-3.82, 4 Ac 3.82-3.83
2 Ac 0.0024 0.9953 0.3314  3 Ho 3.73-3.74, 6 Nd 3.74-3.81, 3 Ac 3.82-3.84
3 Ac 0.9976 0.0047 0.6686  3 Ho 3.73-3.74, 6 Nd 3.74-3.81, 3 Ac 3.82-3.84
4 Ac 0.3341 0.3324 0.1110  4 Nd 3.76-3.82, 4 Ho 3.77-3.82, 4 Ac 3.82-3.83
5 Nd 0.3332 0.3328 0.4476  3 Ho 3.70-3.80, 3 Nd 3.73-3.75, 6 Ac 3.74-3.82
6 Nd 0.0000 0.0000 0.0000  8 Ac 3.75-3.76, 4 Ho 3.87-3.88
7 Nd 0.6668 0.6672 0.5524  3 Ho 3.70-3.80, 3 Nd 3.73-3.75, 6 Ac 3.74-3.82
8 Ho 0.3293 0.3418 0.7727  5 Nd 3.70-3.88, 7 Ac 3.73-3.82
9 Ho 0.6707 0.6582 0.2273  5 Nd 3.70-3.88, 7 Ac 3.73-3.82


This record from Alexandria describes a relaxed Zn2NiIr crystal. The functional is PBE-GGA.

Computed properties:
Energy of formation from the pure elements = -0.44 eV per formula unit
Density of states at the Fermi level = 4.2 states/eV/cell
DFT total energy = -0.32401 Ry/atom
Symmetry = R-3m, No. 166

a = 8.3738 Å, b = 8.3738 Å, c = 8.3738 Å
α = 18.91°, β = 18.91°, γ = 18.91°
With the nearest neighbours (Å) after each atom.
Positions (direct):
1 Ni 0.7500 0.7500 0.7500  6 Zn 2.52, 6 Ni 2.75
2 Zn 0.0041 0.0041 0.0041  3 Ni 2.52, 3 Ir 2.68, 6 Zn 2.75
3 Zn 0.4959 0.4959 0.4959  3 Ni 2.52, 3 Ir 2.68, 6 Zn 2.75
4 Ir 0.2500 0.2500 0.2500  6 Zn 2.68, 6 Ir 2.75


This record from Alexandria describes a relaxed ZrPbAu crystal. The functional is PBE-GGA.

Computed properties:
Energy of formation from the pure elements = -0.66 eV per formula unit
Density of states at the Fermi level = 2.3 states/eV/cell
DFT total energy = -0.39667 Ry/atom
Symmetry = Fmm2, No. 42

a = 6.4360 Å, b = 6.4374 Å, c = 3.4018 Å
α = 74.65°, β = 74.70°, γ = 30.64°
With the nearest neighbours (Å) after each atom.
Positions (direct):
1 Au 0.0138 0.0138 0.9862  4 Zr 2.89, 4 Pb 3.19
2 Pb 0.3379 0.3379 0.6621  4 Au 3.19, 4 Zr 3.30, 4 Pb 3.40
3 Zr 0.6484 0.6484 0.3516  4 Au 2.89


This record from Alexandria describes a relaxed Tb2CePm6Ho3 crystal. The functional is PBE-GGA.

Computed properties:
Energy of formation from the pure elements = 0.45 eV per formula unit
Density of states at the Fermi level = 19.6 states/eV/cell
DFT total energy = -0.34901 Ry/atom
Symmetry = C2/m, No. 12

a = 6.2408 Å, b = 6.2408 Å, c = 11.8770 Å
α = 95.03°, β = 95.03°, γ = 120.01°
With the nearest neighbours (Å) after each atom.
Positions (direct):
1 Tb 0.3335 0.6665 0.0000  6 Pm 3.60, 3 Tb 3.60, 3 Ce 3.60-3.61
2 Tb 0.6665 0.3335 0.0000  6 Pm 3.60, 3 Tb 3.60, 3 Ce 3.60-3.61
3 Ce 0.0000 0.0000 0.0000  6 Pm 3.59, 6 Tb 3.60-3.61
4 Pm 0.9168 0.5854 0.7493  3 Ho 3.58-3.59, 6 Pm 3.58-3.61, 1 Ce 3.59, 2 Tb 3.60
5 Pm 0.7518 0.7518 0.2508  3 Ho 3.58-3.59, 6 Pm 3.58-3.61, 1 Ce 3.59, 2 Tb 3.60
6 Pm 0.0832 0.4146 0.2507  3 Ho 3.58-3.59, 6 Pm 3.58-3.61, 1 Ce 3.59, 2 Tb 3.60
7 Pm 0.5854 0.9168 0.7493  3 Ho 3.58-3.59, 6 Pm 3.58-3.61, 1 Ce 3.59, 2 Tb 3.60
8 Pm 0.2482 0.2482 0.7492  3 Ho 3.58-3.59, 6 Pm 3.58-3.61, 1 Ce 3.59, 2 Tb 3.60
9 Pm 0.4146 0.0832 0.2507  3 Ho 3.58-3.59, 6 Pm 3.58-3.61, 1 Ce 3.59, 2 Tb 3.60
10 Ho 0.1671 0.8329 0.5000  6 Pm 3.58-3.59, 6 Ho 3.60-3.61
11 Ho 0.8329 0.1671 0.5000  6 Pm 3.58-3.59, 6 Ho 3.60-3.61
12 Ho 0.5000 0.5000 0.5000  6 Pm 3.58-3.59, 6 Ho 3.60-3.61


This record from Alexandria describes a relaxed Zn2CrCu crystal. The functional is PBE-GGA.

Computed properties:
Energy of formation from the pure elements = 0.53 eV per formula unit
Density of states at the Fermi level = 2.0 states/eV/cell
DFT total energy = -0.28921 Ry/atom
Symmetry = P4mm, No. 99

a = 2.5439 Å, b = 2.5439 Å, c = 8.0134 Å
α = 90.00°, β = 90.00°, γ = 90.00°
With the nearest neighbours (Å) after each atom.
Positions (direct):
1 Cr 0.0000 0.0000 0.5069  4 Cr 2.54, 4 Cu 2.62, 4 Zn 2.67
2 Cu 0.5000 0.5000 0.7452  4 Cu 2.54, 4 Cr 2.62, 4 Zn 2.65
3 Zn 0.0000 0.0000 0.9879  8 Zn 2.54-2.83, 4 Cu 2.65
4 Zn 0.5000 0.5000 0.2600  8 Zn 2.54-2.83, 4 Cr 2.67